[1]
A relaxed structure of KLa2In. Source: Alexandria via LeMat-Bulk, functional GGA-PBE.

a b c (Å): 3.877 3.877 10.469
angles (deg): 90.00 90.00 90.00
Fractional positions:
K (0.000, 0.000, 0.000)
La (0.000, 0.000, 0.571)
La (0.500, 0.500, 0.346)
In (0.500, 0.500, 0.756)

Values from the calculation:
- energy relative to the elements (eV/atom) = -0.016
- DFT total energy (eV per formula unit) = -13.8

***

[2]
A relaxed structure of KLa2In2. Source: Alexandria via LeMat-Bulk, functional GGA-PBE.

a b c (Å): 9.961 9.961 3.447
angles (deg): 90.00 90.00 90.00
Fractional positions:
K (0.000, 0.000, 0.000)
K (0.500, 0.500, 0.000)
La (0.123, 0.377, 0.000)
La (0.377, 0.877, 0.000)
La (0.623, 0.123, 0.000)
La (0.877, 0.623, 0.000)
In (0.173, 0.673, 0.500)
In (0.327, 0.173, 0.500)
In (0.673, 0.827, 0.500)
In (0.827, 0.327, 0.500)

Values from the calculation:
- energy relative to the elements (eV/atom) = -0.260
- DFT total energy (eV per formula unit) = -17.7
- relative energy among the computed polymorphs (meV per atom) = 0

***

[3]
A relaxed structure of KLaIn4. Source: Alexandria via LeMat-Bulk, functional GGA-PBE.

a b c (Å): 6.253 6.253 6.253
angles (deg): 60.00 60.00 60.00
Fractional positions:
K (0.000, 0.000, 0.000)
La (0.750, 0.750, 0.750)
In (0.375, 0.375, 0.375)
In (0.375, 0.375, 0.874)
In (0.375, 0.874, 0.375)
In (0.874, 0.375, 0.375)

Values from the calculation:
- energy relative to the elements (eV/atom) = -0.239
- DFT total energy (eV per formula unit) = -18.4

***

[4]
A relaxed structure of K2LaIn. Source: Alexandria via LeMat-Bulk, functional GGA-PBE.

a b c (Å): 8.139 8.139 8.139
angles (deg): 153.07 130.12 57.59
Fractional positions:
K (0.000, 0.000, 0.000)
K (0.701, 0.201, 0.500)
La (0.306, 0.806, 0.500)
In (0.486, 0.486, 0.000)

Values from the calculation:
- energy relative to the elements (eV/atom) = 0.174
- DFT total energy (eV per formula unit) = -9.2